1.
Cd2Pt8Rh3 | PBE | optimized geometry

Energy   -5.462 eV/atom
Formation energy   0.09 eV/atom
Space-group type   C2/m, No. 12
ρ   15.81 Mg/m³

Cell: 5.228 7.230 6.917 Å, 121.51 81.93 90.00°
Atoms (fractional coordinates):
Rh 0.500 0.000 0.000
Rh 0.000 0.821 0.000
Rh 0.000 0.179 0.000
Cd 0.404 0.393 0.786
Cd 0.596 0.607 0.214
Pt 0.263 0.818 0.635
Pt 0.090 0.607 0.214
Pt 0.910 0.393 0.786
Pt 0.250 0.008 0.383
Pt 0.737 0.182 0.365
Pt 0.750 0.992 0.617
Pt 0.750 0.626 0.617
Pt 0.250 0.374 0.383

2.
Te2O3F | PBE | optimized geometry

Energy   -4.796 eV/atom
Space-group type   C2/m, No. 12
ρ   5.86 Mg/m³
Formation energy without anion corrections   -0.9579 eV per atom

Cell: 3.986 7.743 7.345 Å, 122.33 90.00 104.92°
Atoms (fractional coordinates):
O 0.908 0.816 0.582
O 0.336 0.673 0.306
O 0.092 0.184 0.418
O 0.316 0.633 0.673
O 0.664 0.327 0.694
O 0.684 0.367 0.327
F 0.084 0.169 0.935
F 0.916 0.831 0.065
Te 0.205 0.411 0.733
Te 0.534 0.068 0.241
Te 0.795 0.589 0.267
Te 0.466 0.932 0.759